An optimized crystal structure of Tm2Zn2In3, computed with PBE.

Results
**Uncorrected energy**: -3.119 eV/atom

```
data_Tm2Zn2In3
_cell_length_a 4.4216
_cell_length_b 20.1098
_cell_length_c 3.6108
_cell_angle_alpha 90.00
_cell_angle_beta 90.00
_cell_angle_gamma 90.00
_symmetry_space_group_name_H-M 'C m m m'
_symmetry_Int_Tables_number 65
_symmetry_space_group_name_Hall '-C 2 2'
loop_
_atom_site_label
_atom_site_fract_x
_atom_site_fract_y
_atom_site_fract_z
_atom_site_occupancy
Tm1 0.0000 0.1645 0.0000 1
Zn1 0.0000 0.2827 0.5000 1
In1 0.0000 0.0000 0.0000 1
In2 0.0000 0.4218 0.5000 1
```